1.
Here is a geometry-optimized Y2MnCd structure from Alexandria via LeMat-Bulk. Energies are from GGA-PBE.

As for the density: 5766 kg/m³. The energy above the most stable polymorph in this dataset is 3.51 kcal/mol of atoms. For the formation energy, the calculation gives 68 meV per atom.

The space group is P4mm (No. 99) and the conventional cell measures 3.447, 3.447 and 8.364 Å, with angles of 90.00, 90.00 and 90.00 degrees. The inequivalent atoms are Y at (0.000, 0.000, 0.000), Y at (0.500, 0.500, 0.335), Mn at (0.500, 0.500, 0.777) and Cd at (0.000, 0.000, 0.596).

***

2.
Here is a geometry-optimized Y4MnCd structure from Alexandria via LeMat-Bulk. Energies are from GGA-PBE.

As for the density: 4947 kg/m³. The energy above the most stable polymorph in this dataset is 13.58 kcal/mol of atoms. For the formation energy, the calculation gives 545 meV per atom.

The space group is F-43m (No. 216) and the conventional cell measures 8.888, 8.888 and 8.888 Å, with angles of 90.00, 90.00 and 90.00 degrees. The inequivalent atoms are Y at (0.125, 0.125, 0.125), Mn at (0.000, 0.000, 0.500) and Cd at (0.250, 0.250, 0.750).

***

3.
Here is a geometry-optimized YMn3Cd structure from Alexandria via LeMat-Bulk. Energies are from GGA-PBE.

As for the density: 4988 kg/m³. The energy above the most stable polymorph in this dataset is 12.58 kcal/mol of atoms. For the formation energy, the calculation gives 1505 meV per atom.

The space group is Pm-3m (No. 221) and the conventional cell measures 4.958, 4.958 and 4.958 Å, with angles of 90.00, 90.00 and 90.00 degrees. The inequivalent atoms are Y at (0.000, 0.000, 0.000), Mn at (0.000, 0.000, 0.500) and Cd at (0.500, 0.500, 0.500).

***

4.
Here is a geometry-optimized Y2MnCd structure from Alexandria via LeMat-Bulk. Energies are from GGA-PBE.

As for the density: 5463 kg/m³. The energy above the most stable polymorph in this dataset is 6.38 kcal/mol of atoms. For the formation energy, the calculation gives 192 meV per atom.

The space group is C2/m (No. 12) and the conventional cell measures 10.037, 3.520 and 6.074 Å, with angles of 90.00, 102.09 and 90.00 degrees. The inequivalent atoms are Y at (0.247, 0.000, 0.241), Mn at (0.000, 0.500, 0.000) and Cd at (0.000, 0.000, 0.500).

***

5.
Here is a geometry-optimized Y2MnCd structure from Alexandria via LeMat-Bulk. Energies are from GGA-PBE.

As for the density: 5904 kg/m³. The energy above the most stable polymorph in this dataset is 4.13 kcal/mol of atoms. For the formation energy, the calculation gives 95 meV per atom.

The space group is I-4m2 (No. 119) and the conventional cell measures 4.481, 4.481 and 9.671 Å, with angles of 90.00, 90.00 and 90.00 degrees. The inequivalent atoms are Y at (0.000, 0.000, 0.000), Y at (0.000, 0.500, 0.250), Mn at (0.000, 0.000, 0.500) and Cd at (0.000, 0.500, 0.750).

***

6.
Here is a geometry-optimized Y2MnCd structure from Alexandria via LeMat-Bulk. Energies are from GGA-PBE.

As for the density: 5596 kg/m³. The energy above the most stable polymorph in this dataset is 7.22 kcal/mol of atoms. For the formation energy, the calculation gives 228 meV per atom.

The space group is R3m (No. 160, hexagonal axes) and the conventional cell measures 3.4438, 3.4438 and 29.9184 Å, with angles of 90.00, 90.00 and 120.00 degrees. The inequivalent atoms are Y at (0.0000, 0.0000, 0.0000), Y at (0.0000, 0.0000, 0.2339), Mn at (0.0000, 0.0000, 0.4893) and Cd at (0.0000, 0.0000, 0.7534).

***

7.
Here is a geometry-optimized Y4MnCd structure from Alexandria via LeMat-Bulk. Energies are from GGA-PBE.

As for the density: 5315 kg/m³. The energy above the most stable polymorph in this dataset is 0.00 kcal/mol of atoms. For the formation energy, the calculation gives -43 meV per atom.

The space group is C2/c (No. 15) and the conventional cell measures 8.780, 12.858 and 6.058 Å, with angles of 90.00, 107.14 and 90.00 degrees. The inequivalent atoms are Y at (0.104, 0.168, 0.046), Y at (0.215, 0.418, 0.387), Mn at (0.000, 0.001, 0.250) and Cd at (0.000, 0.375, 0.750).

***

8.
Here is a geometry-optimized Y2MnCd structure from Alexandria via LeMat-Bulk. Energies are from GGA-PBE.

As for the density: 5796 kg/m³. The energy above the most stable polymorph in this dataset is 2.34 kcal/mol of atoms. For the formation energy, the calculation gives 17 meV per atom.

The space group is Imm2 (No. 44) and the conventional cell measures 3.544, 5.130 and 10.878 Å, with angles of 90.00, 90.00 and 90.00 degrees. The inequivalent atoms are Y at (0.000, 0.000, 0.000), Y at (0.000, 0.500, 0.210), Mn at (0.000, 0.000, 0.464) and Cd at (0.000, 0.500, 0.764).